# NdErI2O2

NdErI2O2 after structural relaxation (GGA-PBE, the Open Quantum Materials Database).

extended XYZ file:
```
6
Lattice="3.978 0.000 0.000 0.000 3.978 0.000 0.000 0.000 9.231" Properties=species:S:1:pos:R:3 pbc="T T T"
Er 1.989 1.989 1.096
I 0.000 0.000 2.994
I 1.989 1.989 6.172
Nd 0.000 0.000 8.074
O 1.989 0.000 0.063
O 0.000 1.989 0.063
```

## Properties
magnetic moment = 0.01 μB per formula unit
density = 6.8 Mg/m³
E_tot = -6.405 eV/atom